# 1
VASP calculation (GGA-PBE) on an optimized crystal structure of SrInOs2.

a b c (Å): 8.0292 8.0292 5.5113
angles (deg): 90.00 90.00 90.00
Last column: nearest neighbours and their distance in Å.
Space group I-42d (No. 122)
Symmetry-distinct sites (fractional):
Sr1 0.0000 0.0000 0.0000  2 In 2.76
In1 0.0000 0.0000 0.5000  4 Os 2.69, 2 Sr 2.76
Os1 0.2051 0.2500 0.6250  2 In 2.69, 2 Os 2.85

Summary:
The value obtained for the formation energy is 1.245 eV/atom. Its total moment is 0.0 Bohr magnetons per cell. The value obtained for the density of states at the Fermi level is 1.36 states/eV per atom. The volume is 355 Å³/cell.

# 2
VASP calculation (GGA-PBE) on an optimized crystal structure of MgBeSi2.

a b c (Å): 3.4153 3.5081 10.8532
angles (deg): 90.00 90.00 90.00
Last column: nearest neighbours and their distance in Å.
Space group Imm2 (No. 44)
Symmetry-distinct sites (fractional):
Mg1 0.0000 0.0000 0.0000  6 Si 2.81-2.87, 2 Be 3.01
Be1 0.0000 0.5000 0.2251  6 Si 2.30-2.46
Si1 0.0000 0.0000 0.3626  2 Be 2.30, 2 Si 2.41
Si2 0.0000 0.5000 0.7055  2 Si 2.41, 4 Be 2.46

Summary:
Its total moment is 0.0 Bohr magnetons per cell. The offset from the most stable computed form is 0.121 eV/atom. The value obtained for the density of states at the Fermi level is 0.28 states/eV per atom. The volume is 130 Å³/cell.

# 3
VASP calculation (GGA-PBE) on an optimized crystal structure of AcLa2Ge2.

a b c (Å): 8.1911 8.1911 4.4509
angles (deg): 90.00 90.00 90.00
Last column: nearest neighbours and their distance in Å.
Space group P4/mbm (No. 127)
Symmetry-distinct sites (fractional):
Ac1 0.0000 0.0000 0.0000  4 Ge 3.29
La1 0.1713 0.3287 0.5000  6 Ge 3.27-3.32
Ge1 0.1156 0.6156 0.0000  1 Ge 2.68

Summary:
The value obtained for the formation energy is -0.696 eV/atom. Its total moment is 0.0 Bohr magnetons per cell. The value obtained for the density of states at the Fermi level is 1.07 states/eV per atom. The volume is 299 Å³/cell.

# 4
VASP calculation (GGA-PBE) on an optimized crystal structure of CoSi2PSe.

a b c (Å): 4.4679 4.4679 4.8145
angles (deg): 90.00 90.00 90.00
Last column: nearest neighbours and their distance in Å.
Space group P4/mmm (No. 123)
Symmetry-distinct sites (fractional):
Co1 0.0000 0.0000 0.0000  4 Se 3.16, 8 Si 3.28
Si1 0.0000 0.5000 0.5000  2 P 2.23
P1 0.5000 0.5000 0.5000  4 Si 2.23, 2 Se 2.41
Se1 0.5000 0.5000 0.0000  2 P 2.41

Summary:
As for the total energy: -4.3050 eV/atom. Its total moment is 1.5 Bohr magnetons per cell. The value obtained for the density of states at the Fermi level is 1.03 states/eV per atom. The volume is 96 Å³/cell.

# 5
VASP calculation (GGA-PBE) on an optimized crystal structure of Ba3Pm3PrTe8.

a b c (Å): 15.8853 9.1760 9.6059
angles (deg): 90.00 123.42 90.00
Last column: nearest neighbours and their distance in Å.
Space group C2/m (No. 12)
Symmetry-distinct sites (fractional):
Ba1 0.0000 0.0000 0.0000  6 Te 3.46-3.47
Ba2 0.2500 0.2500 0.0000  6 Te 3.46-3.47
Pm1 0.0000 0.5000 0.5000  6 Te 3.18-3.20
Pm2 0.2500 0.2500 0.5000  6 Te 3.18-3.20
Pr1 0.0000 0.0000 0.5000  6 Te 3.25
Te1 0.0103 0.2553 0.2756  2 Pm 3.18, 1 Pr 3.25, 2 Ba 3.47
Te2 0.2410 0.5000 0.7231  3 Pm 3.20, 3 Ba 3.46
Te3 0.2448 0.0000 0.7243  2 Pm 3.18, 1 Pr 3.25, 2 Ba 3.47

Summary:
As for the total energy: -4.9015 eV/atom. Its total moment is 0.0 Bohr magnetons per cell. The value obtained for the density of states at the Fermi level is 0.29 states/eV per atom. The volume is 1169 Å³/cell.

# 6
VASP calculation (GGA-PBE) on an optimized crystal structure of MgHgPd4.

a b c (Å): 7.5059 7.5059 7.5059
angles (deg): 90.00 90.00 90.00
Last column: nearest neighbours and their distance in Å.
Space group F-43m (No. 216)
Symmetry-distinct sites (fractional):
Mg1 0.0000 0.0000 0.0000  12 Pd 3.11, 4 Hg 3.25
Hg1 0.2500 0.2500 0.2500  12 Pd 3.11, 4 Mg 3.25
Pd1 0.1250 0.1250 0.6250  6 Pd 2.65

Summary:
The value obtained for the formation energy is -0.200 eV/atom. Its total moment is 0.0 Bohr magnetons per cell. The offset from the most stable computed form is 0.150 eV/atom. The value obtained for the density of states at the Fermi level is 0.98 states/eV per atom. The volume is 423 Å³/cell.

# 7
VASP calculation (GGA-PBE) on an optimized crystal structure of CaAgHg.

a b c (Å): 7.0990 7.0990 7.0990
angles (deg): 90.00 90.00 90.00
Last column: nearest neighbours and their distance in Å.
Space group F-43m (No. 216)
Symmetry-distinct sites (fractional):
Ca1 0.0000 0.0000 0.0000  4 Hg 3.07, 4 Ag 3.07
Ag1 0.2500 0.2500 0.2500  4 Ca 3.07
Hg1 0.2500 0.2500 0.7500  4 Ca 3.07

Summary:
The value obtained for the formation energy is -0.076 eV/atom. Its total moment is 0.0 Bohr magnetons per cell. The value obtained for the density of states at the Fermi level is 0.79 states/eV per atom. The volume is 358 Å³/cell.

# 8
VASP calculation (GGA-PBE) on an optimized crystal structure of KHgRh2.

a b c (Å): 4.2163 4.2163 4.3767
angles (deg): 90.00 90.00 90.00
Last column: nearest neighbours and their distance in Å.
Space group P4/mmm (No. 123)
Symmetry-distinct sites (fractional):
K1 0.0000 0.0000 0.0000  4 Hg 2.98, 8 Rh 3.04
Hg1 0.5000 0.5000 0.0000  4 K 2.98, 8 Rh 3.04
Rh1 0.0000 0.5000 0.5000  4 Rh 2.98, 4 Hg 3.04, 4 K 3.04

Summary:
The value obtained for the formation energy is 0.676 eV/atom. Its total moment is 1.0 Bohr magnetons per cell. The value obtained for the density of states at the Fermi level is 1.56 states/eV per atom. The volume is 78 Å³/cell.